Record 1
This record from the Alexandria database describes crystalline CdH2PtF8 at its relaxed geometry. The functional is GGA-PBE.

Cell and atoms, written as CIF:
```
data_CdH2PtF8
_chemical_formula_sum 'Cd1 H2 Pt1 F8'
_space_group_name_H-M_alt 'P -1'
_space_group_IT_number 2
_space_group_name_Hall '-P 1'
_cell_length_a 5.077
_cell_length_b 5.127
_cell_length_c 6.728
_cell_angle_alpha 87.62
_cell_angle_beta 87.95
_cell_angle_gamma 76.72
loop_
_atom_site_label
_atom_site_fract_x
_atom_site_fract_y
_atom_site_fract_z
Cd1 0.000 0.000 0.000
H1 0.268 0.286 0.231
Pt1 0.000 0.000 0.500
F1 0.191 0.780 0.281
F2 0.231 0.826 0.720
F3 0.234 0.253 0.438
F4 0.268 0.286 0.080
```

Record 2
This record from the Alexandria database describes crystalline RbCdHF2 at its relaxed geometry. The functional is GGA-PBE.

Cell and atoms, written as CIF:
```
data_RbCdHF2
_chemical_formula_sum 'Rb1 Cd1 H1 F2'
_space_group_name_H-M_alt 'P 4/m m m'
_space_group_IT_number 123
_space_group_name_Hall '-P 4 2'
_cell_length_a 4.727
_cell_length_b 4.727
_cell_length_c 3.786
_cell_angle_alpha 90.00
_cell_angle_beta 90.00
_cell_angle_gamma 90.00
loop_
_atom_site_label
_atom_site_fract_x
_atom_site_fract_y
_atom_site_fract_z
Rb1 0.000 0.000 0.000
Cd1 0.500 0.500 0.500
H1 0.500 0.500 0.000
F1 0.000 0.500 0.500
```

Record 3
This record from the Alexandria database describes crystalline Rb2CdH2F6 at its relaxed geometry. The functional is GGA-PBE.

Cell and atoms, written as CIF:
```
data_Rb2CdH2F6
_chemical_formula_sum 'Rb6 Cd3 H6 F18'
_space_group_name_H-M_alt 'R -3 m'
_space_group_IT_number 166
_space_group_name_Hall '-R 3 2"'
_cell_length_a 5.5297
_cell_length_b 5.5297
_cell_length_c 18.1962
_cell_angle_alpha 90.00
_cell_angle_beta 90.00
_cell_angle_gamma 120.00
loop_
_atom_site_label
_atom_site_fract_x
_atom_site_fract_y
_atom_site_fract_z
Rb1 0.0000 0.0000 0.2189
Cd1 0.0000 0.0000 0.0000
H1 0.0000 0.0000 0.4076
F1 0.0440 0.5220 0.2576
```

Record 4
This record from the Alexandria database describes crystalline Rb2CdHF3 at its relaxed geometry. The functional is GGA-PBE.

Cell and atoms, written as CIF:
```
data_Rb2CdHF3
_chemical_formula_sum 'Rb4 Cd2 H2 F6'
_space_group_name_H-M_alt 'I m m m'
_space_group_IT_number 71
_space_group_name_Hall '-I 2 2'
_cell_length_a 3.845
_cell_length_b 4.652
_cell_length_c 14.807
_cell_angle_alpha 90.00
_cell_angle_beta 90.00
_cell_angle_gamma 90.00
loop_
_atom_site_label
_atom_site_fract_x
_atom_site_fract_y
_atom_site_fract_z
Rb1 0.000 0.000 0.152
Cd1 0.000 0.000 0.500
H1 0.000 0.500 0.000
F1 0.000 0.000 0.340
F2 0.000 0.500 0.500
```

Record 5
This record from the Alexandria database describes crystalline RbCdH2F at its relaxed geometry. The functional is GGA-PBE.

Cell and atoms, written as CIF:
```
data_RbCdH2F
_chemical_formula_sum 'Rb1 Cd1 H2 F1'
_space_group_name_H-M_alt 'P 4/m m m'
_space_group_IT_number 123
_space_group_name_Hall '-P 4 2'
_cell_length_a 5.687
_cell_length_b 5.687
_cell_length_c 5.043
_cell_angle_alpha 90.00
_cell_angle_beta 90.00
_cell_angle_gamma 90.00
loop_
_atom_site_label
_atom_site_fract_x
_atom_site_fract_y
_atom_site_fract_z
Rb1 0.000 0.000 0.000
Cd1 0.500 0.500 0.000
H1 0.000 0.500 0.500
F1 0.000 0.000 0.500
```

Record 6
This record from the Alexandria database describes crystalline Rb2CdHF6 at its relaxed geometry. The functional is GGA-PBE.

Cell and atoms, written as CIF:
```
data_Rb2CdHF6
_chemical_formula_sum 'Rb4 Cd2 H2 F12'
_space_group_name_H-M_alt 'P m m n'
_space_group_IT_number 59
_cell_length_a 5.256
_cell_length_b 10.236
_cell_length_c 6.593
_cell_angle_alpha 90.00
_cell_angle_beta 90.00
_cell_angle_gamma 90.00
loop_
_space_group_symop_operation_xyz
'x,y,z'
'-x,-y,-z'
'-x+1/2,-y+1/2,z'
'x+1/2,y+1/2,-z'
'x+1/2,-y,-z'
'-x+1/2,y,z'
'-x,y+1/2,-z'
'x,-y+1/2,z'
loop_
_atom_site_label
_atom_site_fract_x
_atom_site_fract_y
_atom_site_fract_z
Rb1 0.250 0.048 0.222
Cd1 0.250 0.250 0.724
H1 0.250 0.750 0.545
F1 0.031 0.750 0.545
F2 0.043 0.750 0.033
F3 0.250 0.042 0.730
```

Record 7
This record from the Alexandria database describes crystalline RbCdH2F at its relaxed geometry. The functional is GGA-PBE.

Cell and atoms, written as CIF:
```
data_RbCdH2F
_chemical_formula_sum 'Rb1 Cd1 H2 F1'
_space_group_name_H-M_alt 'P 4/m m m'
_space_group_IT_number 123
_space_group_name_Hall '-P 4 2'
_cell_length_a 5.385
_cell_length_b 5.385
_cell_length_c 4.044
_cell_angle_alpha 90.00
_cell_angle_beta 90.00
_cell_angle_gamma 90.00
loop_
_atom_site_label
_atom_site_fract_x
_atom_site_fract_y
_atom_site_fract_z
Rb1 0.000 0.000 0.000
Cd1 0.500 0.500 0.000
H1 0.000 0.500 0.500
F1 0.500 0.500 0.500
```

Record 8
This record from the Alexandria database describes crystalline Cd2HSF at its relaxed geometry. The functional is GGA-PBE.

Cell and atoms, written as CIF:
```
data_Cd2HSF
_chemical_formula_sum 'Cd2 H1 S1 F1'
_space_group_name_H-M_alt 'P 4/m m m'
_space_group_IT_number 123
_space_group_name_Hall '-P 4 2'
_cell_length_a 5.116
_cell_length_b 5.116
_cell_length_c 3.218
_cell_angle_alpha 90.00
_cell_angle_beta 90.00
_cell_angle_gamma 90.00
loop_
_atom_site_label
_atom_site_fract_x
_atom_site_fract_y
_atom_site_fract_z
Cd1 0.000 0.500 0.000
H1 0.000 0.000 0.000
S1 0.000 0.000 0.500
F1 0.500 0.500 0.500
```

Number 1: E -4.02 eV per atom, M_tot 0.000 μB/f.u.. Number 2: E -3.49 eV per atom, M_tot 0.000 μB/f.u.. Number 3: E -3.94 eV per atom, M_tot 0.000 μB/f.u.. Number 4: E -3.66 eV per atom, M_tot 0.000 μB/f.u.. Number 5: E -1.97 eV per atom, M_tot 2.000 μB/f.u.. Number 6: E -3.84 eV per atom, M_tot 1.037 μB/f.u.. Number 7: E -2.08 eV per atom, M_tot 0.014 μB/f.u.. Number 8: E -2.44 eV per atom, M_tot 0.000 μB/f.u..